1.
VASP calculation (GGA-PBE) on an optimized crystal structure of Cs2TiPCl6.

Lattice parameters (Å, degrees): 7.9092 7.9092 7.9092 127.32 127.32 77.73
Closest atoms and distances in Å follow each position.
Atoms (fractional coordinates):
Cs (0.2500, 0.7500, 0.5000)  12 Cl 3.57-3.95
Cs (0.7500, 0.2500, 0.5000)  12 Cl 3.57-3.95
Ti (0.0000, 0.0000, 0.0000)  6 Cl 2.41-2.49
P (0.5000, 0.5000, 0.0000)  4 Cl 2.47
Cl (0.1953, 0.1953, 0.0000)  1 Ti 2.41
Cl (0.2513, 0.2513, 0.5026)  1 P 2.47, 1 Ti 2.49
Cl (0.2513, 0.7487, 0.0000)  1 P 2.47, 1 Ti 2.49
Cl (0.7487, 0.2513, 0.0000)  1 P 2.47, 1 Ti 2.49
Cl (0.7487, 0.7487, 0.4974)  1 P 2.47, 1 Ti 2.49
Cl (0.8047, 0.8047, 0.0000)  1 Ti 2.41

Calculated values
Density of states at the Fermi level ... 0.5 states/eV per cell



2.
VASP calculation (GGA-PBE) on an optimized crystal structure of CsTiP2Cl.

Lattice parameters (Å, degrees): 5.4926 5.4926 5.8521 90.00 90.00 90.00
Closest atoms and distances in Å follow each position.
Atoms (fractional coordinates):
Cs (0.0000, 0.0000, 0.0000)  4 P 2.75, 2 Cl 2.93
Ti (0.5000, 0.5000, 0.5000)  4 Cl 3.88, 8 P 4.01
P (0.0000, 0.5000, 0.0000)  2 Cs 2.75
P (0.5000, 0.0000, 0.0000)  2 Cs 2.75
Cl (0.0000, 0.0000, 0.5000)  2 Cs 2.93

Calculated values
Density of states at the Fermi level ... 7.9 states/eV per cell
Energy relative to the lowest polymorph listed for this composition ... 2147 meV per atom



3.
VASP calculation (GGA-PBE) on an optimized crystal structure of CsTlPCl2.

Lattice parameters (Å, degrees): 5.8664 5.8664 5.2950 90.00 90.00 90.00
Closest atoms and distances in Å follow each position.
Atoms (fractional coordinates):
Cs (0.0000, 0.0000, 0.0000)  8 Cl 3.95, 4 P 4.15
Tl (0.5000, 0.5000, 0.5000)  2 P 2.65, 4 Cl 2.93
P (0.5000, 0.5000, 0.0000)  2 Tl 2.65
Cl (0.0000, 0.5000, 0.5000)  2 Tl 2.93
Cl (0.5000, 0.0000, 0.5000)  2 Tl 2.93

Calculated values
Density of states at the Fermi level ... 1.3 states/eV per cell
Energy relative to the lowest polymorph listed for this composition ... 0 meV per atom



4.
VASP calculation (GGA-PBE) on an optimized crystal structure of CsTlPCl2.

Lattice parameters (Å, degrees): 6.3354 6.3354 5.7813 90.00 90.00 90.00
Closest atoms and distances in Å follow each position.
Atoms (fractional coordinates):
Cs (0.0000, 0.0000, 0.0000)  2 P 2.89, 4 Cl 3.17
Tl (0.5000, 0.5000, 0.5000)  8 Cl 4.29, 4 P 4.48
P (0.0000, 0.0000, 0.5000)  2 Cs 2.89
Cl (0.0000, 0.5000, 0.0000)  2 Cs 3.17
Cl (0.5000, 0.0000, 0.0000)  2 Cs 3.17

Calculated values
Density of states at the Fermi level ... 0.2 states/eV per cell
Energy relative to the lowest polymorph listed for this composition ... 549 meV per atom



5.
VASP calculation (GGA-PBE) on an optimized crystal structure of Cs2VPCl6.

Lattice parameters (Å, degrees): 7.8638 7.8638 7.8638 127.47 127.47 77.48
Closest atoms and distances in Å follow each position.
Atoms (fractional coordinates):
Cs (0.2500, 0.7500, 0.5000)  12 Cl 3.54-3.93
Cs (0.7500, 0.2500, 0.5000)  12 Cl 3.54-3.93
V (0.0000, 0.0000, 0.0000)  6 Cl 2.42-2.50
P (0.5000, 0.5000, 0.0000)  4 Cl 2.42
Cl (0.1969, 0.1969, 0.0000)  1 V 2.42
Cl (0.2540, 0.2540, 0.5081)  1 P 2.42, 1 V 2.50
Cl (0.2540, 0.7460, 0.0000)  1 P 2.42, 1 V 2.50
Cl (0.7460, 0.2540, 0.0000)  1 P 2.42, 1 V 2.50
Cl (0.7460, 0.7460, 0.4919)  1 P 2.42, 1 V 2.50
Cl (0.8031, 0.8031, 0.0000)  1 V 2.42

Calculated values
Density of states at the Fermi level ... 3.4 states/eV per cell



6.
VASP calculation (GGA-PBE) on an optimized crystal structure of Cs2YPCl6.

Lattice parameters (Å, degrees): 8.3001 8.3001 8.3001 128.10 128.10 76.47
Closest atoms and distances in Å follow each position.
Atoms (fractional coordinates):
Cs (0.2500, 0.7500, 0.5000)  4 Cl 3.69
Cs (0.7500, 0.2500, 0.5000)  4 Cl 3.69
Y (0.0000, 0.0000, 0.0000)  6 Cl 2.63-2.65
P (0.5000, 0.5000, 0.0000)  4 Cl 2.49
Cl (0.2018, 0.2018, 0.0000)  1 Y 2.63
Cl (0.2578, 0.2578, 0.5157)  1 P 2.49, 1 Y 2.65
Cl (0.2578, 0.7422, 0.0000)  1 P 2.49, 1 Y 2.65
Cl (0.7422, 0.2578, 0.0000)  1 P 2.49, 1 Y 2.65
Cl (0.7422, 0.7422, 0.4843)  1 P 2.49, 1 Y 2.65
Cl (0.7982, 0.7982, 0.0000)  1 Y 2.63

Calculated values
Density of states at the Fermi level ... 0.0 states/eV per cell



7.
VASP calculation (GGA-PBE) on an optimized crystal structure of CsYPCl2.

Lattice parameters (Å, degrees): 5.4297 5.4297 5.4197 90.00 90.00 90.00
Closest atoms and distances in Å follow each position.
Atoms (fractional coordinates):
Cs (0.0000, 0.0000, 0.0000)  8 Cl 3.84, 4 P 3.84
Y (0.5000, 0.5000, 0.5000)  2 P 2.71, 4 Cl 2.71
P (0.5000, 0.5000, 0.0000)  2 Y 2.71
Cl (0.0000, 0.5000, 0.5000)  2 Y 2.71
Cl (0.5000, 0.0000, 0.5000)  2 Y 2.71

Calculated values
Density of states at the Fermi level ... 3.8 states/eV per cell
Energy relative to the lowest polymorph listed for this composition ... 0 meV per atom



8.
VASP calculation (GGA-PBE) on an optimized crystal structure of CsYPCl2.

Lattice parameters (Å, degrees): 5.7608 5.7608 5.7375 90.00 90.00 90.00
Closest atoms and distances in Å follow each position.
Atoms (fractional coordinates):
Cs (0.0000, 0.0000, 0.0000)  2 P 2.87, 4 Cl 2.88
Y (0.5000, 0.5000, 0.5000)  8 Cl 4.07, 4 P 4.07
P (0.0000, 0.0000, 0.5000)  2 Cs 2.87
Cl (0.0000, 0.5000, 0.0000)  2 Cs 2.88
Cl (0.5000, 0.0000, 0.0000)  2 Cs 2.88

Calculated values
Density of states at the Fermi level ... 1.9 states/eV per cell
Energy relative to the lowest polymorph listed for this composition ... 1578 meV per atom



9.
VASP calculation (GGA-PBE) on an optimized crystal structure of CsYP2Cl.

Lattice parameters (Å, degrees): 5.4179 5.4179 5.6199 90.00 90.00 90.00
Closest atoms and distances in Å follow each position.
Atoms (fractional coordinates):
Cs (0.0000, 0.0000, 0.0000)  4 Cl 3.83, 8 P 3.90
Y (0.5000, 0.5000, 0.5000)  4 P 2.71, 2 Cl 2.81
P (0.0000, 0.5000, 0.5000)  2 Y 2.71
P (0.5000, 0.0000, 0.5000)  2 Y 2.71
Cl (0.5000, 0.5000, 0.0000)  2 Y 2.81

Calculated values
Density of states at the Fermi level ... 3.8 states/eV per cell
Energy relative to the lowest polymorph listed for this composition ... 0 meV per atom



10.
VASP calculation (GGA-PBE) on an optimized crystal structure of CsYP2Cl.

Lattice parameters (Å, degrees): 5.3600 5.3600 5.6423 90.00 90.00 90.00
Closest atoms and distances in Å follow each position.
Atoms (fractional coordinates):
Cs (0.0000, 0.0000, 0.0000)  4 P 2.68, 2 Cl 2.82
Y (0.5000, 0.5000, 0.5000)  4 Cl 3.79, 8 P 3.89
P (0.0000, 0.5000, 0.0000)  2 Cs 2.68
P (0.5000, 0.0000, 0.0000)  2 Cs 2.68
Cl (0.0000, 0.0000, 0.5000)  2 Cs 2.82

Calculated values
Density of states at the Fermi level ... 4.5 states/eV per cell
Energy relative to the lowest polymorph listed for this composition ... 1408 meV per atom



11.
VASP calculation (GGA-PBE) on an optimized crystal structure of CsZnP2Cl.

Lattice parameters (Å, degrees): 8.0290 8.0290 6.2672 90.00 90.00 90.00
Closest atoms and distances in Å follow each position.
Atoms (fractional coordinates):
Cs (0.0000, 0.0000, 0.0000)  2 Cl 3.13
Zn (0.5000, 0.5000, 0.5000)  8 P 5.09, 4 Cl 5.68
P (0.0000, 0.5000, 0.0000)  2 Cs 4.01
P (0.5000, 0.0000, 0.0000)  2 Cs 4.01
Cl (0.0000, 0.0000, 0.5000)  2 Cs 3.13

Calculated values
Density of states at the Fermi level ... 0.0 states/eV per cell
Energy relative to the lowest polymorph listed for this composition ... 1000 meV per atom



12.
VASP calculation (GGA-PBE) on an optimized crystal structure of CsZnPCl2.

Lattice parameters (Å, degrees): 5.5151 5.5151 4.7138 90.00 90.00 90.00
Closest atoms and distances in Å follow each position.
Atoms (fractional coordinates):
Cs (0.0000, 0.0000, 0.0000)  8 Cl 3.63, 4 P 3.90
Zn (0.5000, 0.5000, 0.5000)  2 P 2.36
P (0.5000, 0.5000, 0.0000)  2 Zn 2.36
Cl (0.0000, 0.5000, 0.5000)  2 Zn 2.76
Cl (0.5000, 0.0000, 0.5000)  2 Zn 2.76



Number 1: formation energy from raw total energies -12.80 eV/f.u., electronic total energy -3.889 eV/atom. Number 2: formation energy from raw total energies 7.62 eV/f.u., electronic total energy -2.760 eV/atom. Number 3: formation energy from raw total energies -2.86 eV/f.u., electronic total energy -3.036 eV/atom. Number 4: formation energy from raw total energies -0.11 eV/f.u., electronic total energy -2.487 eV/atom. Number 5: formation energy from raw total energies -11.61 eV/f.u., electronic total energy -3.893 eV/atom. Number 6: formation energy from raw total energies -15.54 eV/f.u., electronic total energy -4.020 eV/atom. Number 7: formation energy from raw total energies -7.06 eV/f.u., electronic total energy -4.697 eV/atom. Number 8: formation energy from raw total energies 0.83 eV/f.u., electronic total energy -3.119 eV/atom. Number 9: formation energy from raw total energies -3.15 eV/f.u., electronic total energy -4.627 eV/atom. Number 10: formation energy from raw total energies 3.89 eV/f.u., electronic total energy -3.219 eV/atom. Number 11: formation energy from raw total energies 4.94 eV/f.u., electronic total energy -1.971 eV/atom. Number 12: formation energy from raw total energies -3.28 eV/f.u., electronic total energy -2.902 eV/atom.